The following is a GGA-PBE calculation of crystalline NdThPtAu at its relaxed geometry, from Alexandria via LeMat-Bulk.

```
data_NdThPtAu
_chemical_formula_sum 'Nd2 Th2 Pt2 Au2'
_cell_length_a 4.4951
_cell_length_b 3.9233
_cell_length_c 11.6083
_cell_angle_alpha 90.00
_cell_angle_beta 90.00
_cell_angle_gamma 90.00
_symmetry_space_group_name_H-M 'A m m 2'
_symmetry_Int_Tables_number 38
_symmetry_space_group_name_Hall 'A 2 -2'
loop_
_atom_site_label
_atom_site_type_symbol
_atom_site_fract_x
_atom_site_fract_y
_atom_site_fract_z
Nd1 Nd 0.0000 0.0000 0.0000
Th1 Th 0.5000 0.0000 0.7261
Pt1 Pt 0.0000 0.0000 0.2590
Au1 Au 0.5000 0.0000 0.4419
```

Values from the calculation:
Energy   -25.437 eV/f.u.
M_tot   0.00 Bohr magnetons per cell